Tc2Ir2Pt: optimized geometry, PBE.

Cell lengths 4.391, 12.566, 2.746 Å; angles 90.00, 90.00, 90.00 degrees
Space group Cmmm (No. 65)
Symmetry-distinct sites (fractional):
Tc 0.000 0.191 0.000
Ir 0.000 0.373 0.500
Pt 0.000 0.000 0.500

Calculated values
raw total energy = -90.2 eV per cell
energy above the most stable polymorph in this dataset = 0.0 meV per atom
ΔH_f (0 K) = -0.1260 eV per atom

Tc2Ir2Pt: optimized geometry, PBE.

Cell lengths 7.520, 7.520, 2.735 Å; angles 90.00, 90.00, 90.00 degrees
Space group P4/mbm (No. 127)
Symmetry-distinct sites (fractional):
Tc 0.171 0.329 0.000
Ir 0.124 0.624 0.500
Pt 0.000 0.000 0.500

Calculated values
raw total energy = -88.6 eV per cell
energy above the most stable polymorph in this dataset = 163.3 meV per atom
ΔH_f (0 K) = 0.0373 eV per atom

Among the records above, which one has the highest energy above the most stable polymorph in this dataset? number 2